[1]
Entry from Alexandria: a relaxed Cu2NiMo crystal (GGA-PBE).

## Properties
DFT total energy: -23.69 eV per cell
energy relative to the elements: 279 meV per atom
SG: Fm-3m

a b c (Å): 4.150 4.150 4.150
angles (deg): 60.00 60.00 60.00
Fractional positions:
Cu 0.750 0.750 0.750
Cu 0.250 0.250 0.250
Mo 0.500 0.500 0.500
Ni 0.000 0.000 0.000

[2]
Entry from Alexandria: a relaxed CuNi4Mo crystal (GGA-PBE).

## Properties
DFT total energy: -72.11 eV per cell
energy relative to the elements: 333 meV per atom
SG: C2/c

a b c (Å): 6.493 6.454 6.287
angles (deg): 128.40 128.57 77.95
Fractional positions:
Mo 0.814 0.314 0.627
Mo 0.436 0.436 0.873
Ni 0.612 0.100 0.981
Ni 0.755 0.730 0.003
Ni 0.495 0.020 0.497
Ni 0.881 0.869 0.519
Ni 0.002 0.476 0.497
Ni 0.638 0.650 0.519
Ni 0.369 0.881 0.981
Ni 0.248 0.274 0.003
Cu 0.196 0.696 0.391
Cu 0.054 0.054 0.109

[3]
Entry from Alexandria: a relaxed CuNiMo crystal (GGA-PBE).

## Properties
DFT total energy: -20.35 eV per cell
energy relative to the elements: 119 meV per atom
SG: Imm2

a b c (Å): 4.523 4.523 4.523
angles (deg): 146.70 130.02 61.39
Fractional positions:
Ni 0.334 0.334 0.000
Mo 0.668 0.668 0.000
Cu 0.998 0.998 0.000